No. 1
# NdMgCdBi3 (PBE-GGA, optimized geometry)
# * symmetry: No. 11
# * density: 8.37 Mg/m³
# * magnetic moment: 0.000 μB/cell
# * total DFT energy (no corrections): -3.4953 eV/atom
# * formation energy: -342 meV/atom
data_NdMgCdBi3
_chemical_formula_sum 'Nd2 Mg2 Cd2 Bi6'
_cell_length_a 4.669
_cell_length_b 7.033
_cell_length_c 11.114
_cell_angle_alpha 99.14
_cell_angle_beta 90.00
_cell_angle_gamma 90.00
_space_group_name_H-M_alt 'P 1'
_space_group_IT_number 1
_space_group_name_Hall 'P 1'
loop_
_atom_site_label
_atom_site_type_symbol
_atom_site_fract_x
_atom_site_fract_y
_atom_site_fract_z
Bi1 Bi 0.250 0.068 0.868
Cd1 Cd 0.750 0.902 0.397
Bi2 Bi 0.750 0.396 0.129
Bi3 Bi 0.750 0.334 0.532
Cd2 Cd 0.250 0.098 0.603
Mg1 Mg 0.750 0.330 0.825
Bi4 Bi 0.250 0.604 0.871
Nd1 Nd 0.750 0.784 0.701
Bi5 Bi 0.750 0.932 0.132
Bi6 Bi 0.250 0.666 0.468
Mg2 Mg 0.250 0.670 0.175
Nd2 Nd 0.250 0.216 0.299



No. 2
# Ca2TeW (PBE-GGA, optimized geometry)
# * E_form (uncorrected): 0.53 eV/atom
# * energy relative to the lowest polymorph listed for this composition: 327 meV/atom
# * symmetry: No. 216
# * density: 6.92 Mg/m³
# * magnetic moment: 1.965 μB/cell
# * total DFT energy (no corrections): -4.4933 eV/atom
data_Ca2TeW
_chemical_formula_sum 'Ca2 Te1 W1'
_cell_length_a 5.104
_cell_length_b 5.104
_cell_length_c 5.104
_cell_angle_alpha 60.00
_cell_angle_beta 60.00
_cell_angle_gamma 60.00
_space_group_name_H-M_alt 'P 1'
_space_group_IT_number 1
_space_group_name_Hall 'P 1'
loop_
_atom_site_label
_atom_site_type_symbol
_atom_site_fract_x
_atom_site_fract_y
_atom_site_fract_z
Te1 Te 0.500 0.500 0.500
Ca1 Ca 0.000 0.000 0.000
Ca2 Ca 0.250 0.250 0.250
W1 W 0.750 0.750 0.750



No. 3
# TiCuP2 (PBE-GGA, optimized geometry)
# * symmetry: No. 122
# * density: 4.81 Mg/m³
# * magnetic moment: 0.000 μB/cell
# * total DFT energy (no corrections): -5.8956 eV/atom
# * formation energy: -193 meV/atom
data_TiCuP2
_chemical_formula_sum 'Ti2 Cu2 P4'
_cell_length_a 6.469
_cell_length_b 6.469
_cell_length_c 5.397
_cell_angle_alpha 53.17
_cell_angle_beta 53.17
_cell_angle_gamma 90.00
_space_group_name_H-M_alt 'P 1'
_space_group_IT_number 1
_space_group_name_Hall 'P 1'
loop_
_atom_site_label
_atom_site_type_symbol
_atom_site_fract_x
_atom_site_fract_y
_atom_site_fract_z
Cu1 Cu 0.750 0.250 0.500
P1 P 0.652 0.125 0.250
Ti1 Ti 0.500 0.500 0.000
Cu2 Cu 0.000 0.000 0.000
P2 P 0.375 0.348 0.750
Ti2 Ti 0.250 0.750 0.500
P3 P 0.875 0.902 0.750
P4 P 0.098 0.625 0.250